No. 1
# Ac2LaTiN4 (GGA-PBE, relaxed)
# **Uncorrected energy**: -7.9181 eV per atom
# **Formation energy (no corrections)**: -1.126 eV per atom
data_Ac2LaTiN4
_space_group_name_H-M_alt 'P 1'
_space_group_IT_number 1
_space_group_name_Hall 'P 1'
_cell_length_a 3.625
_cell_length_b 6.465
_cell_length_c 13.144
_cell_angle_alpha 90.00
_cell_angle_beta 90.00
_cell_angle_gamma 106.28
loop_
_atom_site_label
_atom_site_fract_x
_atom_site_fract_y
_atom_site_fract_z
N1 0.278 0.557 0.356
La1 0.104 0.209 0.750
N2 0.408 0.817 0.750
Ac1 0.366 0.731 0.960
N3 0.000 0.000 0.500
N4 0.000 0.000 0.000
Ti1 0.175 0.350 0.250
Ac2 0.634 0.269 0.040
Ti2 0.825 0.650 0.750
La2 0.896 0.791 0.250
N5 0.278 0.557 0.144
Ac3 0.634 0.269 0.460
Ac4 0.366 0.731 0.540
N6 0.722 0.443 0.644
N7 0.722 0.443 0.856
N8 0.592 0.183 0.250

No. 2
# AcLa2TiN4 (GGA-PBE, relaxed)
# **Uncorrected energy**: -8.1775 eV per atom
# **Formation energy (no corrections)**: -1.283 eV per atom
data_AcLa2TiN4
_space_group_name_H-M_alt 'P 1'
_space_group_IT_number 1
_space_group_name_Hall 'P 1'
_cell_length_a 3.605
_cell_length_b 6.462
_cell_length_c 12.659
_cell_angle_alpha 90.00
_cell_angle_beta 90.00
_cell_angle_gamma 106.20
loop_
_atom_site_label
_atom_site_fract_x
_atom_site_fract_y
_atom_site_fract_z
Ti1 0.172 0.344 0.250
La1 0.369 0.737 0.960
La2 0.369 0.737 0.540
Ac1 0.903 0.805 0.250
La3 0.631 0.263 0.040
Ti2 0.828 0.656 0.750
N1 0.731 0.462 0.635
Ac2 0.097 0.195 0.750
La4 0.631 0.263 0.460
N2 0.000 0.000 0.000
N3 0.413 0.826 0.750
N4 0.000 0.000 0.500
N5 0.269 0.538 0.365
N6 0.269 0.538 0.135
N7 0.587 0.174 0.250
N8 0.731 0.462 0.865

No. 3
# Ac4La3TiN8 (GGA-PBE, relaxed)
# **Uncorrected energy**: -7.6817 eV per atom
# **Formation energy (no corrections)**: -1.075 eV per atom
data_Ac4La3TiN8
_space_group_name_H-M_alt 'P 1'
_space_group_IT_number 1
_space_group_name_Hall 'P 1'
_cell_length_a 7.409
_cell_length_b 7.458
_cell_length_c 7.513
_cell_angle_alpha 119.72
_cell_angle_beta 119.54
_cell_angle_gamma 90.00
loop_
_atom_site_label
_atom_site_fract_x
_atom_site_fract_y
_atom_site_fract_z
Ac1 0.500 0.000 0.500
N1 0.783 0.708 0.996
Ti1 0.000 0.500 0.000
N2 0.213 0.708 0.996
La1 0.500 0.500 0.000
N3 0.262 0.755 0.524
N4 0.217 0.292 0.004
N5 0.738 0.245 0.476
N6 0.254 0.263 0.509
Ac2 0.500 0.000 0.000
N7 0.787 0.292 0.004
N8 0.746 0.737 0.491
Ac3 0.000 0.000 0.500
Ac4 0.000 0.000 0.000
La2 0.500 0.500 0.500
La3 0.000 0.500 0.500

No. 4
# Ac2LaTlN (GGA-PBE, relaxed)
# **Uncorrected energy**: -5.4731 eV per atom
# **Formation energy (no corrections)**: -0.706 eV per atom
data_Ac2LaTlN
_space_group_name_H-M_alt 'P 1'
_space_group_IT_number 1
_space_group_name_Hall 'P 1'
_cell_length_a 5.162
_cell_length_b 5.355
_cell_length_c 5.355
_cell_angle_alpha 90.00
_cell_angle_beta 90.00
_cell_angle_gamma 90.00
loop_
_atom_site_label
_atom_site_fract_x
_atom_site_fract_y
_atom_site_fract_z
La1 0.500 0.000 0.000
N1 0.000 0.000 0.000
Tl1 0.500 0.500 0.500
Ac1 0.000 0.500 0.000
Ac2 0.000 0.000 0.500

no.,volume (Å³/cell)
1,295.65
2,283.17
3,296.78
4,148.03